(1)
An optimized crystal structure of Ac6CoNi2Pt. Source: Alexandria, functional GGA-PBE. Values from VASP.

Results
E_form: -0.32 eV per atom
magnetization: 0.00 μB per formula unit

Quantum ESPRESSO input file:
```
&SYSTEM
  ibrav = 0, nat = 10, ntyp = 4
/
ATOMIC_SPECIES
Ac 227.00 Ac.upf
Ni 58.69 Ni.upf
Pt 195.08 Pt.upf
Co 58.93 Co.upf
CELL_PARAMETERS angstrom
-0.7840 -2.7829 -6.8373
-2.2702 -7.0063 -0.9127
-7.5914 -1.1180 -2.7049
ATOMIC_POSITIONS angstrom
Ac -3.9176 -6.9490 -7.5063
Ac -4.1491 -7.4159 -3.1873
Ac -6.5542 -3.5964 -7.1405
Ac -6.7572 -3.9999 -3.1151
Ac -7.7323 -7.1144 -5.5138
Ac -2.8813 -3.6279 -4.9036
Ni -7.5407 -1.1335 -2.7019
Ni -5.2338 -5.4836 -5.2260
Pt -6.4317 -8.6874 -7.8127
Co -1.1124 -3.2322 -2.5861
```

(2)
An optimized crystal structure of Ac2CoNi3Pt12. Source: Alexandria, functional GGA-PBE. Values from VASP.

Results
E_form: 0.03 eV per atom
magnetization: 7.34 μB per formula unit

Quantum ESPRESSO input file:
```
&SYSTEM
  ibrav = 0, nat = 18, ntyp = 4
/
ATOMIC_SPECIES
Pt 195.08 Pt.upf
Ni 58.69 Ni.upf
Co 58.93 Co.upf
Ac 227.00 Ac.upf
CELL_PARAMETERS angstrom
8.1346 0.1285 0.0911
4.1290 7.0099 0.0911
4.1290 2.4034 6.5857
ATOMIC_POSITIONS angstrom
Pt 8.2258 2.4606 4.2114
Pt 8.1669 7.0812 2.5566
Pt 12.3734 7.2023 2.5921
Pt 8.2258 4.7881 0.9300
Pt 8.1669 4.7538 5.8379
Pt 10.1907 3.6044 2.5566
Pt 6.0844 1.1667 0.8275
Pt 4.0193 4.7145 0.8275
Pt 12.3734 4.8273 5.9405
Pt 10.3082 8.3752 5.9405
Pt 6.2020 5.9375 4.2114
Pt 4.0193 2.3396 4.1759
Ni 2.0645 1.2017 3.2928
Ni 2.0645 3.5050 0.0456
Ni 4.0673 0.0642 0.0456
Co 0.0000 0.0000 0.0000
Ac 6.1050 3.5536 2.5206
Ac 10.2876 5.9883 4.2474
```

(3)
An optimized crystal structure of Ac2CoNi3Sb4. Source: Alexandria, functional GGA-PBE. Values from VASP.

Results
E_form (uncorrected): -6.13 eV/f.u.
magnetization: 1.08 μB per formula unit

Quantum ESPRESSO input file:
```
&SYSTEM
  ibrav = 0, nat = 10, ntyp = 4
/
ATOMIC_SPECIES
Sb 121.76 Sb.upf
Co 58.93 Co.upf
Ni 58.69 Ni.upf
Ac 227.00 Ac.upf
CELL_PARAMETERS angstrom
-0.7318 0.9373 -4.4202
-1.8127 -4.1625 -0.5826
-9.2547 3.7059 2.3181
ATOMIC_POSITIONS angstrom
Sb -4.3751 -0.6923 0.5775
Sb -1.2723 -1.6126 -2.5014
Sb 0.0000 0.0000 0.0000
Sb -6.1519 2.7856 -0.7608
Co -5.8996 0.2403 -1.3423
Ni -2.0275 -1.6323 -0.0105
Ni -4.6273 1.8529 1.1590
Ni -8.4994 3.7256 -0.1728
Ac -7.7549 0.6611 1.4241
Ac -2.7721 1.4322 -1.6074
```